# PBE Hf2Zn6Ag, relaxed
data_Hf2Zn6Ag
_cell_length_a 5.764
_cell_length_b 5.477
_cell_length_c 5.477
_cell_angle_alpha 60.00
_cell_angle_beta 90.01
_cell_angle_gamma 90.01
_symmetry_space_group_name_H-M 'P 1'
_symmetry_Int_Tables_number 1
loop_
_symmetry_equiv_pos_as_xyz
'x,y,z'
loop_
_atom_site_label
_atom_site_fract_x
_atom_site_fract_y
_atom_site_fract_z
Zn1 0.667 0.179 0.179
Ag1 0.000 0.000 0.000
Zn2 0.333 0.821 0.821
Zn3 0.333 0.357 0.821
Zn4 0.667 0.643 0.179
Zn5 0.333 0.821 0.357
Zn6 0.667 0.179 0.643
Hf1 0.124 0.333 0.333
Hf2 0.876 0.667 0.667
# - Electronic total energy: -0.127 Ha/atom
# - Energy of formation from the pure elements: -0.08 eV/atom